{
  "formula": "LaNb2FeO",
  "functional": "PBE with a Hubbard U",
  "state": "relaxed",
  "magnetic_moment_mub_per_fu": 3.2,
  "dft_energy_ev_per_atom": -7.184,
  "sg": "P4/mmm",
  "lattice_angstrom": [[4.295, 0.000, 0.000], [0.000, 4.295, 0.000], [0.000, 0.000, 5.039]],
  "species": ["La", "Nb", "Nb", "Fe", "O"],
  "frac_coords": [[0.000, 0.000, 0.000], [0.000, 0.500, 0.500], [0.500, 0.000, 0.500], [0.500, 0.500, 0.000], [0.500, 0.500, 0.500]]
}